(1)
# PmHgAs2

An optimized crystal structure of PmHgAs2 (PBE-GGA, Alexandria).

Results
Relative energy among the computed polymorphs in meV per atom: 190.3
DOS at the Fermi energy in states/eV/atom: 0.740

abc: 4.3849 4.3849 24.4378
angles: 90.00 90.00 120.00
Space group R-3m (No. 166, hexagonal axes)
One atom of each set of equivalent atoms:
Pm 0.0000 0.0000 0.0000 (multiplicity 3)
Hg 0.0000 0.0000 0.5000 (multiplicity 3)
As 0.0000 0.0000 0.3974 (multiplicity 6)


(2)
# CsHgB2Br8

An optimized crystal structure of CsHgB2Br8 (PBE-GGA, Alexandria).

Results
Formation energy without anion corrections in meV/atom: -640
DOS at the Fermi energy in states/eV/atom: 0.485

abc: 6.8050 6.8050 31.0070
angles: 90.00 90.00 120.00
Space group R-3 (No. 148, hexagonal axes)
One atom of each set of equivalent atoms:
Cs 0.0000 0.0000 0.0000 (multiplicity 3)
Hg 0.0000 0.0000 0.5000 (multiplicity 3)
B 0.0000 0.0000 0.2507 (multiplicity 6)
Br 0.0000 0.0000 0.3162 (multiplicity 6)
Br 0.0326 0.2978 0.7708 (multiplicity 18)


(3)
# Pm12Sm5Sc2

An optimized crystal structure of Pm12Sm5Sc2 (PBE-GGA, Alexandria).

Results
DOS at the Fermi energy in states/eV/atom: 1.743
Calculated total energy in Ry/atom: -0.3488

abc: 19.246 7.445 9.987
angles: 90.00 116.49 90.00
Space group C2/m (No. 12)
One atom of each set of equivalent atoms:
Pm 0.005 0.000 0.206 (multiplicity 4)
Pm 0.007 0.500 0.320 (multiplicity 4)
Pm 0.159 0.248 0.848 (multiplicity 8)
Pm 0.165 0.240 0.498 (multiplicity 8)
Sm 0.000 0.000 0.500 (multiplicity 2)
Sm 0.174 0.000 0.170 (multiplicity 4)
Sm 0.175 0.500 0.192 (multiplicity 4)
Sc 0.000 0.305 0.000 (multiplicity 4)


(4)
# NaLiPmPd

An optimized crystal structure of NaLiPmPd (PBE-GGA, Alexandria).

Results
DOS at the Fermi energy in states/eV/atom: 0.779
Calculated total energy in Ry/atom: -0.2535

abc: 7.106 7.106 7.106
angles: 90.00 90.00 90.00
Space group F-43m (No. 216)
One atom of each set of equivalent atoms:
Na 0.000 0.000 0.000 (multiplicity 4)
Li 0.250 0.250 0.750 (multiplicity 4)
Pm 0.000 0.000 0.500 (multiplicity 4)
Pd 0.250 0.250 0.250 (multiplicity 4)


(5)
# Nb2AsSe2

An optimized crystal structure of Nb2AsSe2 (PBE-GGA, Alexandria).

Results
Relative energy among the computed polymorphs in meV per atom: 0.0
Formation energy without anion corrections in meV/atom: -323
DOS at the Fermi energy in states/eV/atom: 0.742

abc: 7.354 7.354 3.382
angles: 90.00 90.00 90.00
Space group P4/mbm (No. 127)
One atom of each set of equivalent atoms:
Nb 0.151 0.349 0.000 (multiplicity 4)
As 0.000 0.000 0.000 (multiplicity 2)
Se 0.140 0.640 0.500 (multiplicity 4)


(6)
# LaInRh

An optimized crystal structure of LaInRh (PBE-GGA, Alexandria).

Results
DOS at the Fermi energy in states/eV/atom: 0.805
Calculated total energy in Ry/atom: -0.4057

abc: 3.425 3.425 11.871
angles: 90.00 90.00 90.00
Space group I4mm (No. 107)
One atom of each set of equivalent atoms:
La 0.000 0.000 0.000 (multiplicity 2)
In 0.000 0.000 0.718 (multiplicity 2)
Rh 0.000 0.000 0.343 (multiplicity 2)


Q: Among the records above, which one has the highest DOS at the Fermi energy?
A: Pm12Sm5Sc2


Q: DOS at the Fermi energy of number 1 (PmHgAs2)?
A: 0.740 states/eV/atom


Q: Look up the DOS at the Fermi energy of the second one.
A: 0.485 states/eV/atom